[1]
# TbPr6Er8 PBE-GGA optimized geometry
# Space-group type: R-3, No. 148
# Energy of formation from the pure elements, eV per atom: 0.12
data_TbPr6Er8
_space_group_name_H-M_alt 'P 1'
_space_group_IT_number 1
_cell_length_a 9.0882
_cell_length_b 9.0882
_cell_length_c 8.7460
_cell_angle_alpha 58.70
_cell_angle_beta 58.70
_cell_angle_gamma 60.00
loop_
_space_group_symop_operation_xyz
'x,y,z'
loop_
_atom_site_label
_atom_site_fract_x
_atom_site_fract_y
_atom_site_fract_z
_atom_site_occupancy
Er1 0.7527 0.7138 0.4209 1
Er2 0.5767 0.5767 0.2700 1
Er3 0.2473 0.2862 0.5791 1
Er4 0.8874 0.2473 0.5791 1
Er5 0.2862 0.8874 0.5791 1
Er6 0.1126 0.7527 0.4209 1
Er7 0.4233 0.4233 0.7300 1
Er8 0.7138 0.1126 0.4209 1
Tb1 0.0000 0.0000 0.0000 1
Pr1 0.9000 0.7719 0.8654 1
Pr2 0.5373 0.1000 0.1346 1
Pr3 0.4627 0.9000 0.8654 1
Pr4 0.2281 0.5373 0.1346 1
Pr5 0.1000 0.2281 0.1346 1
Pr6 0.7719 0.4627 0.8654 1

---

[2]
# Co4Si PBE-GGA optimized geometry
# Uncorrected formation energy, meV per atom: -206
# Space-group type: I4/m, No. 87
# Energy above the lowest structure with this stoichiometry, meV/atom: 8
data_Co4Si
_space_group_name_H-M_alt 'P 1'
_space_group_IT_number 1
_cell_length_a 4.2786
_cell_length_b 4.2786
_cell_length_c 4.2786
_cell_angle_alpha 99.85
_cell_angle_beta 99.85
_cell_angle_gamma 131.14
loop_
_space_group_symop_operation_xyz
'x,y,z'
loop_
_atom_site_label
_atom_site_fract_x
_atom_site_fract_y
_atom_site_fract_z
_atom_site_occupancy
Co1 0.1979 0.6015 0.7994 1
Co2 0.3985 0.1979 0.5964 1
Co3 0.6015 0.8021 0.4036 1
Co4 0.8021 0.3985 0.2006 1
Si1 0.0000 0.0000 0.0000 1

---

[3]
# Pr3TeAsBr PBE-GGA optimized geometry
# Uncorrected formation energy, meV per atom: -1308
# Space-group type: P2_1/m, No. 11
data_Pr3TeAsBr
_space_group_name_H-M_alt 'P 1'
_space_group_IT_number 1
_cell_length_a 4.2802
_cell_length_b 9.0863
_cell_length_c 10.4274
_cell_angle_alpha 92.25
_cell_angle_beta 90.00
_cell_angle_gamma 90.00
loop_
_space_group_symop_operation_xyz
'x,y,z'
loop_
_atom_site_label
_atom_site_fract_x
_atom_site_fract_y
_atom_site_fract_z
_atom_site_occupancy
Pr1 0.7500 0.3532 0.5771 1
Pr2 0.7500 0.3942 0.1444 1
Pr3 0.7500 0.8604 0.1328 1
Pr4 0.2500 0.6058 0.8556 1
Pr5 0.2500 0.1396 0.8672 1
Pr6 0.2500 0.6468 0.4229 1
Br1 0.2500 0.1267 0.5770 1
Br2 0.7500 0.8733 0.4230 1
As1 0.2500 0.6282 0.1413 1
As2 0.7500 0.3718 0.8587 1
Te1 0.7500 0.8717 0.8252 1
Te2 0.2500 0.1283 0.1748 1

---

[4]
# HgIrAu2 PBE-GGA optimized geometry
# Space-group type: C2/m, No. 12
# Energy of formation from the pure elements, eV per atom: 0.35
data_HgIrAu2
_space_group_name_H-M_alt 'P 1'
_space_group_IT_number 1
_cell_length_a 5.0837
_cell_length_b 5.0837
_cell_length_c 4.9714
_cell_angle_alpha 79.44
_cell_angle_beta 79.44
_cell_angle_gamma 34.60
loop_
_space_group_symop_operation_xyz
'x,y,z'
loop_
_atom_site_label
_atom_site_fract_x
_atom_site_fract_y
_atom_site_fract_z
_atom_site_occupancy
Au1 0.5089 0.5089 0.4880 1
Au2 0.9911 0.9911 0.0120 1
Hg1 0.7500 0.7500 0.7500 1
Ir1 0.2500 0.2500 0.2500 1

---

[5]
# Tm5MgIn6 PBE-GGA optimized geometry
# Space-group type: C2/m, No. 12
# Energy of formation from the pure elements, eV per atom: -0.38
data_Tm5MgIn6
_space_group_name_H-M_alt 'P 1'
_space_group_IT_number 1
_cell_length_a 5.2381
_cell_length_b 7.3529
_cell_length_c 9.1221
_cell_angle_alpha 113.77
_cell_angle_beta 107.59
_cell_angle_gamma 90.00
loop_
_space_group_symop_operation_xyz
'x,y,z'
loop_
_atom_site_label
_atom_site_fract_x
_atom_site_fract_y
_atom_site_fract_z
_atom_site_occupancy
In1 0.5000 0.7569 0.0000 1
In2 0.8359 0.5913 0.6731 1
In3 0.5000 0.2431 0.0000 1
In4 0.1641 0.9182 0.3268 1
In5 0.1641 0.4087 0.3269 1
In6 0.8359 0.0818 0.6732 1
Tm1 0.0000 0.5000 0.0000 1
Tm2 0.6677 0.6667 0.3334 1
Tm3 0.3342 0.8349 0.6697 1
Tm4 0.3323 0.3333 0.6666 1
Tm5 0.6658 0.1651 0.3303 1
Mg1 0.0000 0.0000 0.0000 1

---

[6]
# Ba3Pt PBE-GGA optimized geometry
# Space-group type: P6_3/mmc, No. 194
# Energy of formation from the pure elements, eV per atom: -0.09
data_Ba3Pt
_space_group_name_H-M_alt 'P 1'
_space_group_IT_number 1
_cell_length_a 8.3767
_cell_length_b 8.3767
_cell_length_c 10.3210
_cell_angle_alpha 90.00
_cell_angle_beta 90.00
_cell_angle_gamma 120.00
loop_
_space_group_symop_operation_xyz
'x,y,z'
loop_
_atom_site_label
_atom_site_fract_x
_atom_site_fract_y
_atom_site_fract_z
_atom_site_occupancy
Pt1 0.0000 0.0000 0.5000 1
Pt2 0.0000 0.0000 0.0000 1
Pt3 0.3333 0.6667 0.2500 1
Pt4 0.6667 0.3333 0.7500 1
Ba1 0.5000 0.0000 0.0000 1
Ba2 0.8596 0.7193 0.2500 1
Ba3 0.5000 0.5000 0.5000 1
Ba4 0.1404 0.8596 0.7500 1
Ba5 0.0000 0.5000 0.5000 1
Ba6 0.7193 0.8596 0.7500 1
Ba7 0.5000 0.0000 0.5000 1
Ba8 0.0000 0.5000 0.0000 1
Ba9 0.1404 0.2807 0.7500 1
Ba10 0.2807 0.1404 0.2500 1
Ba11 0.8596 0.1404 0.2500 1
Ba12 0.5000 0.5000 0.0000 1

---

Raw total energy, record by record: -67.98 -34.88 -63.30 -14.33 -44.90 -48.63 eV per cell